[1]
This record from the Alexandria database describes a crystal of ZnCd3 relaxed with PBEsol. The functional is meta-GGA SCAN.

Unit cell a=2.855 b=11.031 c=4.974 alpha=90.00 beta=90.00 gamma=90.00
Space group Imm2 (No. 44)
Unique sites:
Zn 0.000 0.000 0.000
Cd 0.000 0.277 0.372
Cd 0.000 0.500 0.983

Total magnetic moment, μB per formula unit: 0.0
Energy of formation, eV/f.u.: 0.2

[2]
This record from the Alexandria database describes a crystal of ZnMoPt2 relaxed with PBEsol. The functional is meta-GGA SCAN.

Unit cell a=2.749 b=2.749 c=7.652 alpha=90.00 beta=90.00 gamma=90.00
Space group P4/mmm (No. 123)
Unique sites:
Zn 0.000 0.000 0.000
Mo 0.000 0.000 0.500
Pt 0.500 0.500 0.248

Total magnetic moment, μB per formula unit: 0.0
Energy of formation, eV/f.u.: -2.0

[3]
This record from the Alexandria database describes a crystal of Ta3ZnH relaxed with PBEsol. The functional is meta-GGA SCAN.

Unit cell a=4.095 b=4.095 c=4.095 alpha=90.00 beta=90.00 gamma=90.00
Space group Pm-3m (No. 221)
Unique sites:
Ta 0.000 0.000 0.500
Zn 0.500 0.500 0.500
H 0.000 0.000 0.000

Total magnetic moment, μB per formula unit: 0.0
Uncorrected energy, eV/atom: -43.357

[4]
This record from the Alexandria database describes a crystal of ZrSc2Tl relaxed with PBEsol. The functional is meta-GGA SCAN.

Unit cell a=3.226 b=4.294 c=6.401 alpha=90.00 beta=90.00 gamma=90.00
Space group Pmmm (No. 47)
Unique sites:
Zr 0.000 0.000 0.000
Sc 0.500 0.500 0.245
Tl 0.000 0.000 0.500

Total magnetic moment, μB per formula unit: 0.0
Energy relative to the lowest polymorph listed for this composition, meV/atom: 72
Energy of formation, eV/f.u.: -0.9

[5]
This record from the Alexandria database describes a crystal of Rb2HBr relaxed with PBEsol. The functional is meta-GGA SCAN.

Unit cell a=7.798 b=7.798 c=7.798 alpha=90.00 beta=90.00 gamma=90.00
Space group Fm-3m (No. 225)
Unique sites:
Rb 0.250 0.250 0.250
H 0.000 0.000 0.000
Br 0.000 0.000 0.500

Total magnetic moment, μB per formula unit: 0.0
Energy relative to the lowest polymorph listed for this composition, meV/atom: 3

[6]
This record from the Alexandria database describes a crystal of RbZrS2N relaxed with PBEsol. The functional is meta-GGA SCAN.

Unit cell a=5.079 b=5.079 c=4.294 alpha=90.00 beta=90.00 gamma=90.00
Space group P4/mmm (No. 123)
Unique sites:
Rb 0.000 0.000 0.000
Zr 0.500 0.500 0.500
S 0.000 0.500 0.500
N 0.500 0.500 0.000

Total magnetic moment, μB per formula unit: 1.9
Energy relative to the lowest polymorph listed for this composition, meV/atom: 0
Uncorrected formation energy, eV per atom: -0.924